[1]
## MgTlRu2 (PBE)

Data for an optimized crystal structure of MgTlRu2.

abc: 2.9985 2.9985 26.4382
angles: 90.00 90.00 120.00
Closest atoms and distances in Å follow each position.
Fractional positions:
Mg 0.0000 0.0000 0.0000  6 Ru 2.77, 6 Mg 3.00
Mg 0.3333 0.6667 0.6667  6 Ru 2.77, 6 Mg 3.00
Mg 0.6667 0.3333 0.3333  6 Ru 2.77, 6 Mg 3.00
Tl 0.0000 0.0000 0.5000  6 Ru 2.83, 6 Tl 3.00
Tl 0.3333 0.6667 0.1667  6 Ru 2.83, 6 Tl 3.00
Tl 0.6667 0.3333 0.8333  6 Ru 2.83, 6 Tl 3.00
Ru 0.0000 0.0000 0.2514  3 Mg 2.77, 3 Tl 2.83, 6 Ru 3.00
Ru 0.0000 0.0000 0.7486  3 Mg 2.77, 3 Tl 2.83, 6 Ru 3.00
Ru 0.3333 0.6667 0.4153  3 Mg 2.77, 3 Tl 2.83, 6 Ru 3.00
Ru 0.3333 0.6667 0.9181  3 Mg 2.77, 3 Tl 2.83, 6 Ru 3.00
Ru 0.6667 0.3333 0.0819  3 Mg 2.77, 3 Tl 2.83, 6 Ru 3.00
Ru 0.6667 0.3333 0.5847  3 Mg 2.77, 3 Tl 2.83, 6 Ru 3.00

Values from the calculation:
- Space-group type: R-3m, No. 166
- Fermi-level density of states: 13.9 states/eV per cell
- Energy of formation: 495 meV/atom
- Total DFT energy (no corrections): -61.593 eV for the cell shown

=====

[2]
## MgTlRu2 (PBE)

Data for an optimized crystal structure of MgTlRu2.

abc: 4.1463 4.1463 7.7713
angles: 90.00 90.00 90.00
Closest atoms and distances in Å follow each position.
Fractional positions:
Mg 0.0000 0.0000 0.0000  4 Tl 2.84, 8 Ru 2.84-2.93
Mg 0.5000 0.5000 0.5000  4 Tl 2.84, 8 Ru 2.84-2.93
Tl 0.0000 0.5000 0.2500  8 Ru 2.84-2.93, 4 Mg 2.84
Tl 0.5000 0.0000 0.7500  8 Ru 2.84-2.93, 4 Mg 2.84
Ru 0.0000 0.0000 0.5000  4 Tl 2.84, 4 Ru 2.84, 4 Mg 2.93
Ru 0.0000 0.5000 0.7500  4 Mg 2.84, 4 Ru 2.84, 4 Tl 2.93
Ru 0.5000 0.0000 0.2500  4 Ru 2.84, 4 Mg 2.84, 4 Tl 2.93
Ru 0.5000 0.5000 0.0000  4 Tl 2.84, 4 Ru 2.84, 4 Mg 2.93

Values from the calculation:
- Space-group type: I-4m2, No. 119
- Fermi-level density of states: 11.2 states/eV per cell
- Energy of formation: 384 meV/atom
- Total DFT energy (no corrections): -41.952 eV for the cell shown

=====

[3]
## Mg4Tl2Ru (PBE)

Data for an optimized crystal structure of Mg4Tl2Ru.

abc: 4.9912 4.9912 14.7903
angles: 90.00 90.00 90.00
Closest atoms and distances in Å follow each position.
Fractional positions:
Mg 0.0000 0.0000 0.1712  1 Ru 2.53
Mg 0.0000 0.0000 0.8288  1 Ru 2.53
Mg 0.0000 0.5000 0.0000  2 Ru 2.50
Mg 0.0000 0.5000 0.5000  2 Ru 2.50
Mg 0.5000 0.0000 0.0000  2 Ru 2.50
Mg 0.5000 0.0000 0.5000  2 Ru 2.50
Mg 0.5000 0.5000 0.3288  1 Ru 2.53
Mg 0.5000 0.5000 0.6712  1 Ru 2.53
Tl 0.0000 0.0000 0.3712  5 Mg 2.96-3.14
Tl 0.0000 0.0000 0.6288  5 Mg 2.96-3.14
Tl 0.5000 0.5000 0.1288  5 Mg 2.96-3.14
Tl 0.5000 0.5000 0.8712  5 Mg 2.96-3.14
Ru 0.0000 0.0000 0.0000  6 Mg 2.50-2.53
Ru 0.5000 0.5000 0.5000  6 Mg 2.50-2.53

Values from the calculation:
- Space-group type: I4/mmm, No. 139
- Fermi-level density of states: 7.7 states/eV per cell
- Energy of formation: 214 meV/atom
- Total DFT energy (no corrections): -37.771 eV for the cell shown

=====

[4]
## Mg4TlRu (PBE)

Data for an optimized crystal structure of Mg4TlRu.

abc: 5.5305 5.5305 5.5305
angles: 60.00 60.00 60.00
Closest atoms and distances in Å follow each position.
Fractional positions:
Mg 0.1242 0.1242 0.1242  6 Mg 2.75-2.78
Mg 0.1242 0.1242 0.6273  6 Mg 2.75-2.78
Mg 0.1242 0.6273 0.1242  6 Mg 2.75-2.78
Mg 0.6273 0.1242 0.1242  6 Mg 2.75-2.78
Tl 0.5000 0.5000 0.5000  12 Mg 3.24, 4 Ru 3.39
Ru 0.7500 0.7500 0.7500  12 Mg 3.24, 4 Tl 3.39

Values from the calculation:
- Space-group type: F-43m, No. 216
- Fermi-level density of states: 5.1 states/eV per cell
- Energy of formation: 356 meV/atom
- Total DFT energy (no corrections): -15.882 eV for the cell shown

=====

[5]
## MgTlRu2 (PBE)

Data for an optimized crystal structure of MgTlRu2.

abc: 6.4678 6.4678 6.4678
angles: 90.00 90.00 90.00
Closest atoms and distances in Å follow each position.
Fractional positions:
Mg 0.0000 0.0000 0.0000  4 Tl 2.80, 4 Ru 2.80
Mg 0.0000 0.5000 0.5000  4 Tl 2.80, 4 Ru 2.80
Mg 0.5000 0.0000 0.5000  4 Tl 2.80, 4 Ru 2.80
Mg 0.5000 0.5000 0.0000  4 Ru 2.80, 4 Tl 2.80
Tl 0.2500 0.2500 0.7500  4 Ru 2.80, 4 Mg 2.80
Tl 0.2500 0.7500 0.2500  4 Ru 2.80, 4 Mg 2.80
Tl 0.7500 0.2500 0.2500  4 Ru 2.80, 4 Mg 2.80
Tl 0.7500 0.7500 0.7500  4 Ru 2.80, 4 Mg 2.80
Ru 0.0000 0.0000 0.5000  4 Tl 2.80, 4 Ru 2.80
Ru 0.0000 0.5000 0.0000  4 Tl 2.80, 4 Ru 2.80
Ru 0.2500 0.2500 0.2500  4 Ru 2.80, 4 Mg 2.80
Ru 0.2500 0.7500 0.7500  4 Ru 2.80, 4 Mg 2.80
Ru 0.5000 0.0000 0.0000  4 Tl 2.80, 4 Ru 2.80
Ru 0.5000 0.5000 0.5000  4 Tl 2.80, 4 Ru 2.80
Ru 0.7500 0.2500 0.7500  4 Ru 2.80, 4 Mg 2.80
Ru 0.7500 0.7500 0.2500  4 Ru 2.80, 4 Mg 2.80

Values from the calculation:
- Space-group type: F-43m, No. 216
- Fermi-level density of states: 18.7 states/eV per cell
- Energy of formation: 395 meV/atom
- Total DFT energy (no corrections): -83.727 eV for the cell shown

=====

[6]
## MgTlRu3 (PBE)

Data for an optimized crystal structure of MgTlRu3.

abc: 4.5593 4.5593 4.5593
angles: 90.00 90.00 90.00
Closest atoms and distances in Å follow each position.
Fractional positions:
Mg 0.0000 0.0000 0.0000  6 Ru 2.28
Tl 0.5000 0.5000 0.5000  12 Ru 3.22
Ru 0.0000 0.0000 0.5000  2 Mg 2.28
Ru 0.0000 0.5000 0.0000  2 Mg 2.28
Ru 0.5000 0.0000 0.0000  2 Mg 2.28

Values from the calculation:
- Space-group type: Pm-3m, No. 221
- Energy relative to the lowest polymorph listed for this composition: 0.00 kJ per mole of atoms
- Fermi-level density of states: 3.5 states/eV per cell
- Energy of formation: 1543 meV/atom
- Total DFT energy (no corrections): -24.072 eV for the cell shown

=====

[7]
## MgTlRu2 (PBE)

Data for an optimized crystal structure of MgTlRu2.

abc: 3.1090 4.5824 9.5660
angles: 90.00 90.00 90.00
Closest atoms and distances in Å follow each position.
Fractional positions:
Mg 0.0000 0.0000 0.0000  6 Ru 2.78-2.84, 2 Tl 3.05, 2 Mg 3.11
Mg 0.5000 0.5000 0.5000  6 Ru 2.78-2.84, 2 Tl 3.05, 2 Mg 3.11
Tl 0.0000 0.5000 0.2260  6 Ru 2.78-2.89, 2 Mg 3.05, 2 Tl 3.11
Tl 0.5000 0.0000 0.7260  6 Ru 2.78-2.89, 2 Mg 3.05, 2 Tl 3.11
Ru 0.0000 0.0000 0.4708  2 Ru 2.63, 4 Mg 2.78, 2 Tl 2.89
Ru 0.0000 0.5000 0.7487  2 Ru 2.63, 4 Tl 2.78, 2 Mg 2.84
Ru 0.5000 0.0000 0.2487  2 Ru 2.63, 4 Tl 2.78, 2 Mg 2.84
Ru 0.5000 0.5000 0.9708  2 Ru 2.63, 4 Mg 2.78, 2 Tl 2.89

Values from the calculation:
- Space-group type: Imm2, No. 44
- Fermi-level density of states: 8.3 states/eV per cell
- Energy of formation: 334 meV/atom
- Total DFT energy (no corrections): -42.356 eV for the cell shown

=====

[8]
## MgTlRu2 (PBE)

Data for an optimized crystal structure of MgTlRu2.

abc: 2.9769 2.9769 27.7793
angles: 90.00 90.00 120.00
Closest atoms and distances in Å follow each position.
Fractional positions:
Mg 0.0000 0.0000 0.0000  3 Ru 2.77, 6 Mg 2.98
Mg 0.3333 0.6667 0.6667  3 Ru 2.77, 6 Mg 2.98
Mg 0.6667 0.3333 0.3333  3 Ru 2.77, 6 Mg 2.98
Tl 0.0000 0.0000 0.7644  6 Tl 2.98, 3 Ru 2.98, 3 Mg 3.21
Tl 0.3333 0.6667 0.4311  6 Tl 2.98, 3 Ru 2.98, 3 Mg 3.21
Tl 0.6667 0.3333 0.0978  6 Tl 2.98, 3 Ru 2.98, 3 Mg 3.21
Ru 0.0000 0.0000 0.2551  3 Ru 2.59, 3 Mg 2.77
Ru 0.0000 0.0000 0.5187  3 Ru 2.59
Ru 0.3333 0.6667 0.1853  3 Ru 2.59
Ru 0.3333 0.6667 0.9218  3 Ru 2.59, 3 Mg 2.77
Ru 0.6667 0.3333 0.5885  3 Ru 2.59, 3 Mg 2.77
Ru 0.6667 0.3333 0.8520  3 Ru 2.59

Values from the calculation:
- Space-group type: R3m, No. 160
- Fermi-level density of states: 6.2 states/eV per cell
- Energy of formation: 355 meV/atom
- Total DFT energy (no corrections): -63.278 eV for the cell shown

=====

[9]
## Mg2Tl2Ru (PBE)

Data for an optimized crystal structure of Mg2Tl2Ru.

abc: 7.3880 7.3880 3.9305
angles: 90.00 90.00 90.00
Closest atoms and distances in Å follow each position.
Fractional positions:
Mg 0.1620 0.3380 0.0000  6 Tl 2.79-3.02
Mg 0.3380 0.8380 0.0000  6 Tl 2.79-3.02
Mg 0.6620 0.1620 0.0000  6 Tl 2.79-3.02
Mg 0.8380 0.6620 0.0000  6 Tl 2.79-3.02
Tl 0.1479 0.6479 0.5000  6 Mg 2.79-3.02, 2 Ru 2.82, 1 Tl 3.09
Tl 0.3521 0.1479 0.5000  6 Mg 2.79-3.02, 2 Ru 2.82, 1 Tl 3.09
Tl 0.6479 0.8521 0.5000  6 Mg 2.79-3.02, 2 Ru 2.82, 1 Tl 3.09
Tl 0.8521 0.3521 0.5000  6 Mg 2.79-3.02, 2 Ru 2.82, 1 Tl 3.09
Ru 0.0000 0.0000 0.5000  4 Tl 2.82
Ru 0.5000 0.5000 0.5000  4 Tl 2.82

Values from the calculation:
- Space-group type: P4/mbm, No. 127
- Energy relative to the lowest polymorph listed for this composition: 0.00 kJ per mole of atoms
- Fermi-level density of states: 2.9 states/eV per cell
- Energy of formation: 363 meV/atom
- Total DFT energy (no corrections): -30.768 eV for the cell shown

=====

[10]
## TmMg2Ru (PBE)

Data for an optimized crystal structure of TmMg2Ru.

abc: 15.2233 8.3880 5.2709
angles: 90.00 90.00 90.00
Closest atoms and distances in Å follow each position.
Fractional positions:
Tm 0.1102 0.2500 0.2499  3 Ru 2.82-2.89
Tm 0.1392 0.7500 0.0585  3 Ru 2.83-2.91
Tm 0.3608 0.2500 0.5585  3 Ru 2.83-2.91
Tm 0.3898 0.7500 0.7499  3 Ru 2.82-2.89
Tm 0.6102 0.2500 0.2501  3 Ru 2.82-2.89
Tm 0.6392 0.7500 0.4415  3 Ru 2.83-2.91
Tm 0.8608 0.2500 0.9415  3 Ru 2.83-2.91
Tm 0.8898 0.7500 0.7501  3 Ru 2.82-2.89
Mg 0.0396 0.0584 0.7375  3 Ru 2.76, 2 Mg 2.95
Mg 0.0396 0.4416 0.7375  3 Ru 2.76, 2 Mg 2.95
Mg 0.2109 0.5573 0.5493  3 Ru 2.75-2.80, 3 Mg 2.95-3.05
Mg 0.2109 0.9427 0.5493  3 Ru 2.75-2.80, 3 Mg 2.95-3.05
Mg 0.2891 0.0573 0.0493  3 Ru 2.75-2.80, 3 Mg 2.95-3.05
Mg 0.2891 0.4427 0.0493  3 Ru 2.75-2.80, 3 Mg 2.95-3.05
Mg 0.4604 0.5584 0.2375  3 Ru 2.76, 2 Mg 2.95
Mg 0.4604 0.9416 0.2375  3 Ru 2.76, 2 Mg 2.95
Mg 0.5396 0.0584 0.7625  3 Ru 2.76, 2 Mg 2.95
Mg 0.5396 0.4416 0.7625  3 Ru 2.76, 2 Mg 2.95
Mg 0.7109 0.5573 0.9507  3 Ru 2.75-2.80, 3 Mg 2.95-3.05
Mg 0.7109 0.9427 0.9507  3 Ru 2.75-2.80, 3 Mg 2.95-3.05
Mg 0.7891 0.0573 0.4507  3 Ru 2.75-2.80, 3 Mg 2.95-3.05
Mg 0.7891 0.4427 0.4507  3 Ru 2.75-2.80, 3 Mg 2.95-3.05
Mg 0.9604 0.5584 0.2625  3 Ru 2.76, 2 Mg 2.95
Mg 0.9604 0.9416 0.2625  3 Ru 2.76, 2 Mg 2.95
Ru 0.0634 0.7500 0.5660  6 Mg 2.76-2.77, 3 Tm 2.82-2.91
Ru 0.1871 0.2500 0.7478  6 Mg 2.75-2.80, 3 Tm 2.83-2.89
Ru 0.3129 0.7500 0.2478  6 Mg 2.75-2.80, 3 Tm 2.83-2.89
Ru 0.4366 0.2500 0.0660  6 Mg 2.76-2.77, 3 Tm 2.82-2.91
Ru 0.5634 0.7500 0.9340  6 Mg 2.76-2.77, 3 Tm 2.82-2.91
Ru 0.6871 0.2500 0.7522  6 Mg 2.75-2.80, 3 Tm 2.83-2.89
Ru 0.8129 0.7500 0.2522  6 Mg 2.75-2.80, 3 Tm 2.83-2.89
Ru 0.9366 0.2500 0.4340  6 Mg 2.76-2.77, 3 Tm 2.82-2.91

Values from the calculation:
- Space-group type: Pnma, No. 62
- Fermi-level density of states: 18.3 states/eV per cell
- Energy of formation: -193 meV/atom
- Total DFT energy (no corrections): -141.657 eV for the cell shown

=====

[11]
## TmMgRu (PBE)

Data for an optimized crystal structure of TmMgRu.

abc: 4.5197 4.5197 3.3636
angles: 90.00 90.00 120.00
Closest atoms and distances in Å follow each position.
Fractional positions:
Tm 0.0000 0.0000 0.0000  3 Ru 2.91, 6 Mg 3.04-3.17
Mg 0.6667 0.3333 0.4637  3 Ru 2.66
Ru 0.3333 0.6667 0.6138  3 Mg 2.66, 3 Tm 2.91

Values from the calculation:
- Space-group type: P3m1, No. 156
- Fermi-level density of states: 1.8 states/eV per cell
- Energy of formation: -99 meV/atom
- Total DFT energy (no corrections): -15.638 eV for the cell shown

=====

[12]
## Tm4MgRu3 (PBE)

Data for an optimized crystal structure of Tm4MgRu3.

abc: 4.8003 4.8003 7.0214
angles: 90.00 90.00 90.00
Closest atoms and distances in Å follow each position.
Fractional positions:
Tm 0.0000 0.5000 0.2322  6 Ru 2.90-3.05, 2 Mg 3.05
Tm 0.0000 0.5000 0.7678  6 Ru 2.90-3.05, 2 Mg 3.05
Tm 0.5000 0.0000 0.2322  6 Ru 2.90-3.05, 2 Mg 3.05
Tm 0.5000 0.0000 0.7678  6 Ru 2.90-3.05, 2 Mg 3.05
Mg 0.0000 0.0000 0.5000  8 Tm 3.05, 4 Ru 3.39
Ru 0.0000 0.0000 0.0000  8 Tm 2.90
Ru 0.5000 0.5000 0.0000  8 Tm 2.90
Ru 0.5000 0.5000 0.5000  8 Tm 3.05, 4 Mg 3.39

Values from the calculation:
- Space-group type: P4/mmm, No. 123
- Fermi-level density of states: 2.9 states/eV per cell
- Energy of formation: -376 meV/atom
- Total DFT energy (no corrections): -50.313 eV for the cell shown